MnMo2Br, optimized geometry, DFT GGA-PBE; formation energy (no corrections) = 0.336 eV/atom; energy above the lowest structure with this stoichiometry = 0.0 kJ per mole of atoms
1.0
3.232 0.000 0.000
0.000 3.145 0.000
-0.022 0.000 7.354
Mn Mo Br
1 2 1
Direct
0.000 0.000 0.000
0.499 0.500 0.790
0.997 0.000 0.604
0.988 0.500 0.299



Mn2MoBr, optimized geometry, DFT GGA-PBE; formation energy (no corrections) = 0.751 eV/atom; energy above the lowest structure with this stoichiometry = 40.0 kJ per mole of atoms
1.0
4.364 -1.511 0.000
4.364 1.511 0.000
-0.622 0.000 4.899
Mn Mo Br
2 1 1
Direct
0.240 0.240 0.215
0.760 0.760 0.785
0.500 0.500 0.000
0.000 0.000 0.500



> The highest formation energy (no corrections) belongs to which entry?

Mn2MoBr